Pm2VInO6, relaxed, DFT PBE with a Hubbard U; spin magnetization = 4.000 μB/cell; Fermi-level density of states = 0.00 states/eV/f.u.; raw total energy = -151.49 eV per cell
1.0
5.554 0.000 -0.024
0.000 5.859 0.000
0.016 0.000 8.031
O V In Pm
12 2 2 4
Direct
0.702 0.310 0.942
0.186 0.205 0.065
0.881 0.546 0.241
0.202 0.190 0.442
0.381 0.954 0.741
0.814 0.795 0.935
0.619 0.046 0.259
0.686 0.295 0.565
0.119 0.454 0.759
0.314 0.705 0.435
0.798 0.810 0.558
0.298 0.690 0.058
0.000 0.500 0.000
0.500 0.000 0.500
0.000 0.500 0.500
0.500 0.000 0.000
0.520 0.564 0.751
0.020 0.936 0.251
0.480 0.436 0.249
0.980 0.064 0.749